Entry from the Alexandria database: a relaxed structure of Y2Co3 (PBE-GGA).

Calculated values
Uncorrected energy in eV/atom: -6.912
Energy of formation in eV per atom: -0.063

Cell lengths 3.9728, 3.9728, 7.5979 Å; angles 90.00, 90.00, 120.00 degrees
Space group P-3m1 (No. 164)
Symmetry-distinct sites (fractional):
Y: 0.3333 0.6667 0.2032
Co: 0.0000 0.0000 0.5000
Co: 0.3333 0.6667 0.5598



Entry from the Alexandria database: a relaxed structure of CoSbBr2 (PBE-GGA).

Calculated values
Uncorrected energy in eV/atom: -3.623
Formation energy without anion corrections in kJ/mol of formula units: 8
E above lowest polymorph in eV/atom: 0.155

Cell lengths 5.152, 3.392, 7.356 Å; angles 90.00, 110.41, 90.00 degrees
Space group P2/m (No. 10)
Symmetry-distinct sites (fractional):
Co: 0.000 0.000 0.000
Sb: 0.500 0.000 0.000
Br: 0.124 0.500 0.249



Look up the uncorrected energy of the first one.
-6.912 eV/atom